This record from Alexandria describes Cs2Li14Tb3O14 at its PBEsol-relaxed geometry. The functional is SCAN.

```
Cs2Li14Tb3O14
1.0
-3.704 4.034 6.521
3.704 -4.034 6.521
3.704 4.034 -6.521
Cs Li Tb O
2 14 3 14
Direct
0.000 0.233 0.233
0.000 0.767 0.767
0.086 0.233 0.854
0.212 0.140 0.619
0.212 0.594 0.072
0.347 0.500 0.847
0.379 0.233 0.146
0.478 0.406 0.619
0.478 0.860 0.072
0.522 0.140 0.928
0.522 0.594 0.381
0.621 0.767 0.854
0.653 0.500 0.153
0.788 0.406 0.928
0.788 0.860 0.381
0.914 0.767 0.146
0.231 0.731 0.500
0.500 0.000 0.500
0.769 0.269 0.500
0.094 0.371 0.723
0.184 0.869 0.316
0.254 0.052 0.798
0.254 0.456 0.202
0.352 0.629 0.723
0.447 0.131 0.316
0.500 0.298 0.798
0.500 0.702 0.202
0.553 0.869 0.684
0.648 0.371 0.277
0.746 0.544 0.798
0.746 0.948 0.202
0.816 0.131 0.684
0.906 0.629 0.277
```

Computed properties:
The uncorrected formation energy is -2.2412 eV/atom. Its magnetic moment is 0.093 μB/atom. The symmetry is Immm. The crystal system is orthorhombic.